Record 1
This record from Alexandria describes a relaxed BaTh2CoN4 crystal. The functional is PBE.

Unit cell a=6.385 b=6.385 c=12.237 alpha=90.00 beta=90.00 gamma=146.27
Element x y z (fractional)
Ba: 0.099 0.901 0.750
Ba: 0.901 0.099 0.250
Th: 0.366 0.634 0.554
Th: 0.366 0.634 0.946
Th: 0.634 0.366 0.054
Th: 0.634 0.366 0.446
Co: 0.184 0.816 0.250
Co: 0.816 0.184 0.750
N: 0.000 0.000 0.000
N: 0.000 0.000 0.500
N: 0.253 0.747 0.109
N: 0.253 0.747 0.391
N: 0.380 0.620 0.750
N: 0.620 0.380 0.250
N: 0.747 0.253 0.609
N: 0.747 0.253 0.891

Mass density   8.59 Mg/m³
Formation energy from raw total energies   -1.0347 eV per atom
SG   Cmcm, No. 63
Magnetization   0.105 μB per atom
Uncorrected energy   -130.89 eV for the cell shown

***

Record 2
This record from Alexandria describes a relaxed Sm3RuO6 crystal. The functional is PBE.

Unit cell a=6.643 b=6.643 c=6.643 alpha=97.83 beta=97.83 gamma=97.83
Element x y z (fractional)
Sm: 0.100 0.613 0.785
Sm: 0.215 0.900 0.387
Sm: 0.387 0.215 0.900
Sm: 0.613 0.785 0.100
Sm: 0.785 0.100 0.613
Sm: 0.900 0.387 0.215
Ru: 0.000 0.000 0.000
Ru: 0.500 0.500 0.500
O: 0.061 0.302 0.919
O: 0.081 0.939 0.698
O: 0.199 0.551 0.439
O: 0.302 0.919 0.061
O: 0.439 0.199 0.551
O: 0.449 0.561 0.801
O: 0.551 0.439 0.199
O: 0.561 0.801 0.449
O: 0.698 0.081 0.939
O: 0.801 0.449 0.561
O: 0.919 0.061 0.302
O: 0.939 0.698 0.081

Mass density   7.58 Mg/m³
Formation energy from raw total energies   -2.7514 eV per atom
SG   R-3, No. 148
Magnetization   0.100 μB per atom
Uncorrected energy   -161.39 eV for the cell shown

***

Record 3
This record from Alexandria describes a relaxed MgFe2Pd8 crystal. The functional is PBE.

Unit cell a=7.252 b=7.252 c=6.210 alpha=105.41 beta=105.41 gamma=31.76
Element x y z (fractional)
Mg: 0.000 0.000 0.000
Fe: 0.275 0.275 0.350
Fe: 0.725 0.725 0.650
Pd: 0.100 0.100 0.465
Pd: 0.181 0.181 0.918
Pd: 0.355 0.355 0.798
Pd: 0.455 0.455 0.272
Pd: 0.545 0.545 0.728
Pd: 0.645 0.645 0.202
Pd: 0.819 0.819 0.082
Pd: 0.900 0.900 0.535

Mass density   9.92 Mg/m³
SG   C2/m, No. 12
Magnetization   0.738 μB per atom
Uncorrected energy   -62.60 eV for the cell shown

***

Record 4
This record from Alexandria describes a relaxed BaMg2InOs crystal. The functional is PBE.

Unit cell a=5.165 b=5.165 c=5.251 alpha=90.00 beta=90.00 gamma=90.00
Element x y z (fractional)
Ba: 0.000 0.000 0.000
Mg: 0.000 0.500 0.500
Mg: 0.500 0.000 0.500
In: 0.500 0.500 0.000
Os: 0.500 0.500 0.500

Mass density   5.82 Mg/m³
SG   P4/mmm, No. 123
Magnetization   0.000 μB per atom
Uncorrected energy   -19.13 eV for the cell shown